NdCuTeSe | GGA-PBE | optimized geometry

Summary:
Space-group type: R-3m
Magnetic moment: 0.00 Bohr magnetons per cell
Energy relative to the elements, uncorrected: -1042 meV per atom
Calculated total energy: -4.9142 eV per atom

```
NdCuTeSe
1.0
2.2272 1.2859 14.4932
-2.2272 1.2859 14.4932
0.0000 -2.5717 14.4932
Nd Cu Te Se
2 2 2 2
direct
0.0984 0.0984 0.0984
0.9016 0.9016 0.9016
0.2740 0.2740 0.2740
0.7260 0.7260 0.7260
0.3793 0.3793 0.3793
0.6207 0.6207 0.6207
0.2062 0.2062 0.2062
0.7938 0.7938 0.7938
```

ZrTeC2S | GGA-PBE | optimized geometry

Summary:
Space-group type: P4/mmm
Magnetic moment: 0.00 Bohr magnetons per cell
Energy relative to the elements, uncorrected: 1705 meV per atom
Calculated total energy: -5.1477 eV per atom

```
ZrTeC2S
1.0
4.1217 0.0000 0.0000
0.0000 4.1217 0.0000
0.0000 0.0000 4.9634
Zr Te C S
1 1 2 1
direct
0.0000 0.0000 0.0000
0.5000 0.5000 0.5000
0.0000 0.5000 0.5000
0.5000 0.0000 0.5000
0.5000 0.5000 0.0000
```

La3Nd | GGA-PBE | optimized geometry

Summary:
Space-group type: Pm-3m
Magnetic moment: 0.00 Bohr magnetons per cell
Calculated total energy: -4.8850 eV per atom
Formation energy: 0.0026 eV/atom

```
La3Nd
1.0
5.2429 0.0000 0.0000
0.0000 5.2429 0.0000
0.0000 0.0000 5.2429
La Nd
3 1
direct
0.0000 0.0000 0.5000
0.0000 0.5000 0.0000
0.5000 0.0000 0.0000
0.5000 0.5000 0.5000
```

BaZr2Al | GGA-PBE | optimized geometry

Summary:
Space-group type: I4/mmm
Magnetic moment: 0.00 Bohr magnetons per cell
Calculated total energy: -5.2614 eV per atom
Formation energy: 0.4290 eV/atom

```
BaZr2Al
1.0
4.6943 0.0000 0.0000
0.0000 4.6943 0.0000
0.0000 0.0000 9.2126
Ba Zr Al
2 4 2
direct
0.0000 0.0000 0.0000
0.5000 0.5000 0.5000
0.0000 0.5000 0.2500
0.0000 0.5000 0.7500
0.5000 0.0000 0.2500
0.5000 0.0000 0.7500
0.0000 0.0000 0.5000
0.5000 0.5000 0.0000
```

CaTaBr2 | GGA-PBE | optimized geometry

Summary:
Space-group type: P2/m
Magnetic moment: 0.00 Bohr magnetons per cell
Energy relative to the elements, uncorrected: -160 meV per atom
Calculated total energy: -4.4602 eV per atom
Offset from the most stable computed form: 256 meV per atom

```
CaTaBr2
1.0
3.3837 0.0000 0.0000
0.0000 4.5102 0.0000
-0.1563 0.0000 6.1822
Ca Ta Br
1 1 2
direct
0.0000 0.0000 0.0000
0.5000 0.0000 0.5000
0.3998 0.5000 0.2621
0.6002 0.5000 0.7379
```

TiSb2Pb | GGA-PBE | optimized geometry

Summary:
Space-group type: R-3m
Magnetic moment: 0.00 Bohr magnetons per cell
Energy relative to the elements, uncorrected: -145 meV per atom
Calculated total energy: -5.1069 eV per atom

```
TiSb2Pb
1.0
3.3678 0.0000 0.0000
-1.6839 2.9166 0.0000
0.0000 0.0000 32.2614
Ti Sb Pb
3 6 3
direct
0.0000 0.0000 0.0000
0.3333 0.6667 0.6667
0.6667 0.3333 0.3333
0.0000 0.0000 0.3981
0.0000 0.0000 0.6019
0.3333 0.6667 0.0648
0.3333 0.6667 0.2686
0.6667 0.3333 0.7314
0.6667 0.3333 0.9352
0.0000 0.0000 0.5000
0.3333 0.6667 0.1667
0.6667 0.3333 0.8333
```

Pa5Si5Ge2 | GGA-PBE | optimized geometry

Summary:
Space-group type: C2/m
Magnetic moment: 0.00 Bohr magnetons per cell
Energy relative to the elements, uncorrected: -389 meV per atom
Calculated total energy: -7.3748 eV per atom

```
Pa5Si5Ge2
1.0
7.3163 -1.9623 0.0000
7.3163 1.9623 0.0000
-7.0582 0.0000 8.6809
Pa Si Ge
5 5 2
direct
0.0000 0.0000 0.0000
0.3122 0.3122 0.4146
0.3670 0.3670 0.1776
0.6330 0.6330 0.8224
0.6878 0.6878 0.5854
0.0000 0.0000 0.5000
0.0576 0.0576 0.3307
0.2990 0.2990 0.8717
0.7010 0.7010 0.1283
0.9424 0.9424 0.6693
0.3871 0.3871 0.7405
0.6129 0.6129 0.2595
```

RbZrMnPd2 | GGA-PBE | optimized geometry

Summary:
Space-group type: P4/mmm
Magnetic moment: 2.27 Bohr magnetons per cell
Calculated total energy: -4.7301 eV per atom
Formation energy: 1.0841 eV/atom

```
RbZrMnPd2
1.0
4.8672 0.0000 0.0000
0.0000 4.8672 0.0000
0.0000 0.0000 5.1166
Rb Zr Mn Pd
1 1 1 2
direct
0.0000 0.0000 0.0000
0.5000 0.5000 0.0000
0.0000 0.0000 0.5000
0.0000 0.5000 0.5000
0.5000 0.0000 0.5000
```

Li2BeH4 | GGA-PBE | optimized geometry

Summary:
Space-group type: P2_1/m
Magnetic moment: 0.00 Bohr magnetons per cell
Calculated total energy: -3.2932 eV per atom
Offset from the most stable computed form: 15 meV per atom

```
Li2BeH4
1.0
4.5359 0.0000 0.0000
0.0000 4.6386 0.0000
-1.4767 0.0000 5.3150
Li Be H
4 2 8
direct
0.2066 0.2500 0.0351
0.2654 0.2500 0.5624
0.7346 0.7500 0.4376
0.7934 0.7500 0.9649
0.2462 0.7500 0.8019
0.7538 0.2500 0.1981
0.0436 0.5090 0.7460
0.0436 0.9910 0.7460
0.3965 0.7500 0.0639
0.4570 0.7500 0.6505
0.5430 0.2500 0.3495
0.6035 0.2500 0.9361
0.9564 0.0090 0.2540
0.9564 0.4910 0.2540
```

Ce12Pu2Ir5 | GGA-PBE | optimized geometry

Summary:
Space-group type: C2/m
Magnetic moment: 14.28 Bohr magnetons per cell
Calculated total energy: -7.8933 eV per atom
Formation energy: -0.3051 eV/atom

```
Ce12Pu2Ir5
1.0
10.0653 -3.8197 0.0000
10.0653 3.8197 0.0000
-1.7662 0.0000 6.1914
Ce Pu Ir
12 2 5
direct
0.0058 0.5531 0.7671
0.0579 0.0579 0.2063
0.1454 0.6710 0.2744
0.3290 0.8546 0.7256
0.3713 0.3713 0.6593
0.4469 0.9942 0.2329
0.5531 0.0058 0.7671
0.6287 0.6287 0.3407
0.6710 0.1454 0.2744
0.8546 0.3290 0.7256
0.9421 0.9421 0.7937
0.9942 0.4469 0.2329
0.3157 0.6843 0.0000
0.6843 0.3157 0.0000
0.1805 0.1805 0.5406
0.3106 0.3106 0.0972
0.5000 0.5000 0.5000
0.6894 0.6894 0.9028
0.8195 0.8195 0.4594
```

CaDy2Ge4O12 | GGA-PBE | optimized geometry

Summary:
Space-group type: Cmme
Magnetic moment: 0.00 Bohr magnetons per cell
Energy relative to the elements, uncorrected: -2392 meV per atom
Calculated total energy: -7.0854 eV per atom

```
CaDy2Ge4O12
1.0
7.1509 -7.1703 0.0000
7.1509 7.1703 0.0000
0.0000 0.0000 5.1122
Ca Dy Ge O
2 4 8 24
direct
0.0000 0.0000 0.0000
0.5000 0.5000 0.0000
0.0000 0.5000 0.0000
0.2500 0.2500 0.0000
0.5000 0.0000 0.0000
0.7500 0.7500 0.0000
0.0210 0.7501 0.5049
0.2501 0.5210 0.5049
0.2499 0.9790 0.5049
0.4790 0.7499 0.5049
0.5210 0.2501 0.4951
0.7501 0.0210 0.4951
0.7499 0.4790 0.4951
0.9790 0.2499 0.4951
0.0577 0.3273 0.7584
0.0683 0.1774 0.2451
0.1233 0.6233 0.6674
0.1304 0.8696 0.3517
0.1727 0.4423 0.2416
0.1774 0.0683 0.7549
0.3226 0.4317 0.7549
0.3273 0.0577 0.2416
0.3696 0.6304 0.3517
0.3767 0.8767 0.6674
0.4317 0.3226 0.2451
0.4423 0.1727 0.7584
0.5577 0.8273 0.2416
0.5683 0.6774 0.7549
0.6233 0.1233 0.3326
0.6304 0.3696 0.6483
0.6727 0.9423 0.7584
0.6774 0.5683 0.2451
0.8226 0.9317 0.2451
0.8273 0.5577 0.7584
0.8696 0.1304 0.6483
0.8767 0.3767 0.3326
0.9317 0.8226 0.7549
0.9423 0.6727 0.2416
```

CaScGaS4 | GGA-PBE | optimized geometry

Summary:
Space-group type: Imma
Magnetic moment: 0.00 Bohr magnetons per cell
Energy relative to the elements, uncorrected: -1455 meV per atom
Calculated total energy: -5.4369 eV per atom

```
CaScGaS4
1.0
-3.7499 3.8551 5.3909
3.7499 -3.8551 5.3909
3.7499 3.8551 -5.3909
Ca Sc Ga S
2 2 2 8
direct
0.5000 0.0000 0.0000
0.5000 0.5000 0.5000
0.0000 0.0000 0.0000
0.5000 0.0000 0.5000
0.1138 0.3638 0.7500
0.8862 0.6362 0.2500
0.2307 0.2391 0.9915
0.2427 0.2339 0.4911
0.2427 0.7516 0.0089
0.2524 0.7609 0.4915
0.7476 0.2391 0.5085
0.7573 0.2484 0.9911
0.7573 0.7661 0.5089
0.7693 0.7609 0.0085
```